Entry 1:
# LaNdBi

A relaxed structure of LaNdBi (PBE, Alexandria via LeMat-Bulk).

## Properties
Energy relative to the elements (kJ/mol of formula units): -108
Energy (eV per atom): -4.900
SG: Immm, No. 71
Density of states at the Fermi level (states/eV/f.u.): 3.24

Cell and atoms, written as extended XYZ:
```
6
Lattice="-1.778 3.052 9.606 1.778 -3.052 9.606 1.778 3.052 -9.606" Properties=species:S:1:pos:R:3 pbc="T T T"
La 0.000 0.000 3.292
La 0.000 0.000 15.920
Nd 1.778 1.492 0.000
Nd 0.000 1.560 9.606
Bi 0.000 0.000 6.620
Bi 0.000 0.000 12.592
```

Entry 2:
# La3NdBi3

A relaxed structure of La3NdBi3 (PBE, Alexandria via LeMat-Bulk).

## Properties
Energy relative to the elements (kJ/mol of formula units): -433
Energy (eV per atom): -5.097
SG: P6_3/m, No. 176
Density of states at the Fermi level (states/eV/f.u.): 6.77

Cell and atoms, written as extended XYZ:
```
14
Lattice="9.584 0.000 0.000 -4.792 8.300 0.000 0.000 0.000 6.126" Properties=species:S:1:pos:R:3 pbc="T T T"
La -3.521 6.310 1.532
La 1.088 2.096 1.532
La 2.359 0.105 4.595
La 2.433 8.195 1.532
La 3.704 6.204 4.595
La 8.313 1.990 4.595
Nd 0.000 5.534 1.532
Nd 4.792 2.767 4.595
Bi -2.451 5.193 4.595
Bi 1.521 3.581 4.595
Bi 3.862 0.474 1.532
Bi 0.930 7.827 4.595
Bi 3.272 4.719 1.532
Bi 7.243 3.108 1.532
```